A relaxed PaZn11Pd crystal. Source: Alexandria via LeMat-Bulk, functional GGA-PBE.

Structure (extended XYZ):
```
13
Lattice="2.592 -6.337 0.000 2.592 6.337 0.000 -2.542 0.000 6.291" Properties=species:S:1:pos:R:3 pbc="T T T"
Pa 0.000 0.000 0.000
Zn 1.296 3.168 0.000
Zn 0.091 4.107 4.065
Zn 0.060 1.372 4.939
Zn 2.552 4.107 2.226
Zn 2.583 1.372 1.352
Zn 1.296 -3.168 0.000
Zn 1.322 0.000 3.146
Zn 0.060 -1.372 4.939
Zn 0.091 -4.107 4.065
Zn 2.583 -1.372 1.352
Zn 2.552 -4.107 2.226
Pd -1.271 0.000 3.146
```

Values from the calculation:
- DFT total energy (eV/atom) = -2.37
- ΔE_f (kJ/mol of formula units) = -200
- space-group type = C2/m, No. 12

---

A relaxed Pa2Zn3Pd crystal. Source: Alexandria via LeMat-Bulk, functional GGA-PBE.

Structure (extended XYZ):
```
12
Lattice="0.000 4.606 7.980 3.134 0.000 7.980 3.134 4.606 0.000" Properties=species:S:1:pos:R:3 pbc="T T T"
Pa 4.828 4.606 7.980
Pa 1.567 2.303 3.990
Pa 4.701 6.909 11.969
Pa 1.439 4.606 7.980
Zn 3.134 2.357 6.659
Zn 3.134 4.606 5.352
Zn 3.134 2.357 9.301
Zn 3.134 6.854 6.659
Zn 3.134 4.606 10.607
Zn 3.134 6.854 9.301
Pd 3.134 4.606 2.671
Pd 3.134 4.606 13.289
```

Values from the calculation:
- DFT total energy (eV/atom) = -4.94
- ΔE_f (kJ/mol of formula units) = -157
- space-group type = Fmmm, No. 69

---

A relaxed PaZn3Pd3 crystal. Source: Alexandria via LeMat-Bulk, functional GGA-PBE.

Structure (extended XYZ):
```
14
Lattice="3.317 1.915 6.439 -3.317 1.915 6.439 0.000 -3.830 6.439" Properties=species:S:1:pos:R:3 pbc="T T T"
Pa 0.000 0.000 3.086
Pa 0.000 0.000 16.231
Zn -1.694 0.299 5.796
Zn 0.588 -1.617 5.796
Zn -1.106 -1.318 13.521
Zn 1.106 1.318 5.796
Zn -0.588 1.617 13.521
Zn 1.694 -0.299 13.521
Pd -1.639 0.070 8.441
Pd -0.880 -1.385 10.876
Pd 0.759 -1.454 8.441
Pd -0.759 1.454 10.876
Pd 0.880 1.385 8.441
Pd 1.639 -0.070 10.876
```

Values from the calculation:
- DFT total energy (eV/atom) = -4.56
- ΔE_f (kJ/mol of formula units) = -289
- space-group type = R-3, No. 148